Entry 1:
Here is a relaxed structure of ScW2Se from Alexandria via LeMat-Bulk. Energies are from PBE.

Cell lengths 10.2381, 3.2073, 4.3637 Å; angles 90.00, 102.42, 90.00 degrees
Space group C2/m (No. 12)
Symmetry-distinct sites (fractional):
Sc1 0.0000 0.0000 0.0000
W1 0.2390 0.0000 0.7410
Se1 0.0000 0.5000 0.5000

Results
- E (Ry per atom) = -0.6491
- mass density (g/cm3) = 11.7
- magnetic moment (μB per formula unit) = 0.00
- formation energy without anion corrections (meV/atom) = 99

Entry 2:
Here is a relaxed structure of BeAg2As from Alexandria via LeMat-Bulk. Energies are from PBE.

Cell lengths 6.4213, 6.4213, 6.4213 Å; angles 90.00, 90.00, 90.00 degrees
Space group Fm-3m (No. 225)
Symmetry-distinct sites (fractional):
Be1 0.0000 0.0000 0.0000
Ag1 0.2500 0.2500 0.2500
As1 0.0000 0.0000 0.5000

Results
- E (Ry per atom) = -0.2277
- energy of formation from the pure elements (eV per atom) = 0.422
- mass density (g/cm3) = 7.5
- E above lowest polymorph (eV/atom) = 0.2107
- magnetic moment (μB per formula unit) = 0.00

Entry 3:
Here is a relaxed structure of ScVGa from Alexandria via LeMat-Bulk. Energies are from PBE.

Cell lengths 3.4100, 3.4100, 9.1299 Å; angles 90.00, 90.00, 90.00 degrees
Space group I4mm (No. 107)
Symmetry-distinct sites (fractional):
Sc1 0.0000 0.0000 0.0000
V1 0.0000 0.0000 0.6769
Ga1 0.0000 0.0000 0.3207

Results
- E (Ry per atom) = -0.4618
- energy of formation from the pure elements (eV per atom) = -0.124
- mass density (g/cm3) = 5.2
- E above lowest polymorph (eV/atom) = 0.0282
- magnetic moment (μB per formula unit) = 2.89

Entry 4:
Here is a relaxed structure of BaBi3Pb from Alexandria via LeMat-Bulk. Energies are from PBE.

Cell lengths 5.9914, 5.9914, 5.9914 Å; angles 90.00, 90.00, 90.00 degrees
Space group Pm-3m (No. 221)
Symmetry-distinct sites (fractional):
Ba1 0.0000 0.0000 0.0000
Bi1 0.0000 0.5000 0.5000
Pb1 0.5000 0.5000 0.5000

Results
- E (Ry per atom) = -0.2452
- energy of formation from the pure elements (eV per atom) = 0.118
- mass density (g/cm3) = 7.5
- E above lowest polymorph (eV/atom) = 0.3914
- magnetic moment (μB per formula unit) = 0.00

Entry 5:
Here is a relaxed structure of Rb2BaBeBr6 from Alexandria via LeMat-Bulk. Energies are from PBE.

Cell lengths 7.9669, 7.9669, 11.2356 Å; angles 90.00, 90.00, 90.00 degrees
Space group I4/mmm (No. 139)
Symmetry-distinct sites (fractional):
Rb1 0.0000 0.5000 0.2500
Ba1 0.0000 0.0000 0.0000
Be1 0.0000 0.0000 0.5000
Br1 0.0000 0.0000 0.2797
Br2 0.2211 0.2211 0.5000

Results
- E (Ry per atom) = -0.2392
- mass density (g/cm3) = 3.7
- magnetic moment (μB per formula unit) = 0.00
- formation energy without anion corrections (meV/atom) = -1492

Entry 6:
Here is a relaxed structure of ZnPd3Pb from Alexandria via LeMat-Bulk. Energies are from PBE.

Cell lengths 5.0510, 5.0510, 5.0510 Å; angles 90.00, 90.00, 90.00 degrees
Space group Pm-3m (No. 221)
Symmetry-distinct sites (fractional):
Zn1 0.0000 0.0000 0.0000
Pd1 0.0000 0.5000 0.5000
Pb1 0.5000 0.5000 0.5000

Results
- E (Ry per atom) = -0.2449
- energy of formation from the pure elements (eV per atom) = 0.780
- mass density (g/cm3) = 7.6
- E above lowest polymorph (eV/atom) = 1.0665
- magnetic moment (μB per formula unit) = 0.00

Entry 7:
Here is a relaxed structure of Sm4ErTh2 from Alexandria via LeMat-Bulk. Energies are from PBE.

Cell lengths 5.6346, 5.6346, 16.7544 Å; angles 90.00, 90.00, 90.00 degrees
Space group I4/mmm (No. 139)
Symmetry-distinct sites (fractional):
Sm1 0.0000 0.0000 0.1864
Sm2 0.0000 0.5000 0.0000
Er1 0.0000 0.0000 0.0000
Th1 0.0000 0.0000 0.3898

Results
- E (Ry per atom) = -0.3442
- energy of formation from the pure elements (eV per atom) = 0.785
- mass density (g/cm3) = 7.7
- E above lowest polymorph (eV/atom) = 0.5316
- magnetic moment (μB per formula unit) = 0.50

Entry 8:
Here is a relaxed structure of BaCaTc2 from Alexandria via LeMat-Bulk. Energies are from PBE.

Cell lengths 3.7894, 5.2664, 11.1811 Å; angles 90.00, 90.00, 90.00 degrees
Space group Imm2 (No. 44)
Symmetry-distinct sites (fractional):
Ba1 0.0000 0.0000 0.0000
Ca1 0.0000 0.5000 0.7759
Tc1 0.0000 0.0000 0.6020
Tc2 0.0000 0.5000 0.2231

Results
- E (Ry per atom) = -0.4165
- energy of formation from the pure elements (eV per atom) = 0.497
- mass density (g/cm3) = 5.6
- E above lowest polymorph (eV/atom) = 0.2325
- magnetic moment (μB per formula unit) = 0.00

Entry 9:
Here is a relaxed structure of SeICl from Alexandria via LeMat-Bulk. Energies are from PBE.

Cell lengths 5.5812, 7.4270, 7.6844 Å; angles 92.46, 101.91, 103.47 degrees
Space group P-1 (No. 2)
Symmetry-distinct sites (fractional):
Se1 0.0315 0.4887 0.3362
I1 0.2733 0.8347 0.3781
Cl1 0.2400 0.3586 0.1605

Results
- E (Ry per atom) = -0.1728
- mass density (g/cm3) = 2.7
- E above lowest polymorph (eV/atom) = 0.0220
- magnetic moment (μB per formula unit) = 0.00
- formation energy without anion corrections (meV/atom) = -57

Entry 10:
Here is a relaxed structure of CaMg2Sn from Alexandria via LeMat-Bulk. Energies are from PBE.

Cell lengths 4.5961, 4.5961, 4.7768 Å; angles 90.00, 90.00, 90.00 degrees
Space group P4/mmm (No. 123)
Symmetry-distinct sites (fractional):
Ca1 0.0000 0.0000 0.0000
Mg1 0.0000 0.5000 0.5000
Sn1 0.5000 0.5000 0.0000

Results
- E (Ry per atom) = -0.1918
- energy of formation from the pure elements (eV per atom) = -0.311
- mass density (g/cm3) = 3.4
- magnetic moment (μB per formula unit) = 0.00

Entry 11:
Here is a relaxed structure of Tc2TeIr from Alexandria via LeMat-Bulk. Energies are from PBE.

Cell lengths 2.9783, 2.9783, 7.4582 Å; angles 90.00, 90.00, 90.00 degrees
Space group P4mm (No. 99)
Symmetry-distinct sites (fractional):
Tc1 0.0000 0.0000 0.0000
Tc2 0.5000 0.5000 0.2220
Te1 0.0000 0.0000 0.4813
Ir1 0.5000 0.5000 0.7614

Results
- E (Ry per atom) = -0.5752
- mass density (g/cm3) = 12.9
- magnetic moment (μB per formula unit) = 0.00
- formation energy without anion corrections (meV/atom) = 358

Entry 12:
Here is a relaxed structure of La6S2I3N from Alexandria via LeMat-Bulk. Energies are from PBE.

Cell lengths 7.1546, 12.3831, 8.1264 Å; angles 90.00, 107.05, 90.00 degrees
Space group C2/m (No. 12)
Symmetry-distinct sites (fractional):
La1 0.2135 0.1525 0.1834
La2 0.2428 0.0000 0.8138
S1 0.0000 0.3339 0.0000
I1 0.0000 0.1732 0.5000
I2 0.0000 0.5000 0.5000
N1 0.0000 0.0000 0.0000

Results
- E (Ry per atom) = -0.4200
- mass density (g/cm3) = 6.2
- magnetic moment (μB per formula unit) = 0.00
- formation energy without anion corrections (meV/atom) = -1481

Entry 13:
Here is a relaxed structure of FeNiAg2 from Alexandria via LeMat-Bulk. Energies are from PBE.

Cell lengths 3.0578, 4.4857, 8.6988 Å; angles 90.00, 90.00, 90.00 degrees
Space group Imm2 (No. 44)
Symmetry-distinct sites (fractional):
Fe1 0.0000 0.0000 0.0000
Ni1 0.0000 0.5000 0.7038
Ag1 0.0000 0.0000 0.4600
Ag2 0.0000 0.5000 0.2358

Results
- E (Ry per atom) = -0.3437
- energy of formation from the pure elements (eV per atom) = 0.310
- mass density (g/cm3) = 9.2
- E above lowest polymorph (eV/atom) = 0.1344
- magnetic moment (μB per formula unit) = 3.57

Entry 14:
Here is a relaxed structure of CdPN3 from Alexandria via LeMat-Bulk. Energies are from PBE.

Cell lengths 3.5993, 3.5993, 3.5993 Å; angles 90.00, 90.00, 90.00 degrees
Space group Pm-3m (No. 221)
Symmetry-distinct sites (fractional):
Cd1 0.0000 0.0000 0.0000
P1 0.5000 0.5000 0.5000
N1 0.0000 0.5000 0.5000

Results
- E (Ry per atom) = -0.3835
- mass density (g/cm3) = 6.6
- magnetic moment (μB per formula unit) = 0.00
- formation energy without anion corrections (meV/atom) = 1043

Entry 15:
Here is a relaxed structure of Pm2Nd2Tm5 from Alexandria via LeMat-Bulk. Energies are from PBE.

Cell lengths 12.7862, 3.6167, 14.2904 Å; angles 90.00, 116.41, 90.00 degrees
Space group C2/m (No. 12)
Symmetry-distinct sites (fractional):
Pm1 0.2249 0.0000 0.3722
Nd1 0.2167 0.5000 0.1099
Tm1 0.0000 0.0000 0.5000
Tm2 0.0089 0.0000 0.8885
Tm3 0.0450 0.5000 0.7081

Results
- E (Ry per atom) = -0.3320
- energy of formation from the pure elements (eV per atom) = 0.083
- mass density (g/cm3) = 8.0
- E above lowest polymorph (eV/atom) = 0.0000
- magnetic moment (μB per formula unit) = 0.00

Entry 16:
Here is a relaxed structure of AlTl2Cu from Alexandria via LeMat-Bulk. Energies are from PBE.

Cell lengths 4.6131, 4.6131, 4.1567 Å; angles 90.00, 90.00, 90.00 degrees
Space group P4/mmm (No. 123)
Symmetry-distinct sites (fractional):
Al1 0.0000 0.0000 0.0000
Tl1 0.0000 0.5000 0.5000
Cu1 0.5000 0.5000 0.0000

Results
- E (Ry per atom) = -0.2040
- energy of formation from the pure elements (eV per atom) = 0.367
- mass density (g/cm3) = 9.4
- E above lowest polymorph (eV/atom) = 0.2418
- magnetic moment (μB per formula unit) = 0.00

Entry 17:
Here is a relaxed structure of Pr4Nd3S8 from Alexandria via LeMat-Bulk. Energies are from PBE.

Cell lengths 11.5444, 11.5461, 8.1590 Å; angles 90.00, 134.96, 90.00 degrees
Space group C2/m (No. 12)
Symmetry-distinct sites (fractional):
Pr1 0.0000 0.0000 0.0000
Pr2 0.0000 0.5000 0.5000
Pr3 0.2500 0.2500 0.0000
Nd1 0.0000 0.5000 0.0000
Nd2 0.2500 0.2500 0.5000
S1 0.0000 0.2495 0.5000
S2 0.0000 0.2510 0.0000
S3 0.2494 0.5000 0.0010
S4 0.2504 0.0000 0.5021

Results
- E (Ry per atom) = -0.4749
- mass density (g/cm3) = 5.4
- magnetic moment (μB per formula unit) = 0.00
- formation energy without anion corrections (meV/atom) = -2032

Entry 18:
Here is a relaxed structure of DyTe2Pd9 from Alexandria via LeMat-Bulk. Energies are from PBE.

Cell lengths 4.1172, 4.1172, 12.1962 Å; angles 90.00, 90.00, 90.00 degrees
Space group P4/mmm (No. 123)
Symmetry-distinct sites (fractional):
Dy1 0.0000 0.0000 0.0000
Te1 0.0000 0.0000 0.3340
Pd1 0.0000 0.5000 0.1694
Pd2 0.0000 0.5000 0.5000
Pd3 0.5000 0.5000 0.0000
Pd4 0.5000 0.5000 0.3376

Results
- E (Ry per atom) = -0.3828
- mass density (g/cm3) = 11.0
- magnetic moment (μB per formula unit) = 0.00
- formation energy without anion corrections (meV/atom) = -407

Entry 19:
Here is a relaxed structure of Ge3RhF from Alexandria via LeMat-Bulk. Energies are from PBE.

Cell lengths 4.7920, 4.7920, 4.7920 Å; angles 90.00, 90.00, 90.00 degrees
Space group Pm-3m (No. 221)
Symmetry-distinct sites (fractional):
Ge1 0.0000 0.0000 0.5000
Rh1 0.0000 0.0000 0.0000
F1 0.5000 0.5000 0.5000

Results
- E (Ry per atom) = -0.3497
- mass density (g/cm3) = 5.1
- E above lowest polymorph (eV/atom) = 0.0000
- magnetic moment (μB per formula unit) = 0.00
- formation energy without anion corrections (meV/atom) = -143

Entry 20:
Here is a relaxed structure of CsSnBi4 from Alexandria via LeMat-Bulk. Energies are from PBE.

Cell lengths 15.0225, 8.2353, 7.9456 Å; angles 90.00, 100.14, 90.00 degrees
Space group C2/m (No. 12)
Symmetry-distinct sites (fractional):
Cs1 0.2310 0.0000 0.3631
Sn1 0.0396 0.5000 0.2722
Bi1 0.0000 0.2060 0.5000
Bi2 0.0901 0.2126 0.9125
Bi3 0.2108 0.5000 0.1058

Results
- E (Ry per atom) = -0.2571
- energy of formation from the pure elements (eV per atom) = -0.101
- mass density (g/cm3) = 7.5
- magnetic moment (μB per formula unit) = 0.00

Entry 21:
Here is a relaxed structure of KLiNi2 from Alexandria via LeMat-Bulk. Energies are from PBE.

Cell lengths 2.6339, 4.3531, 6.7467 Å; angles 90.00, 99.98, 90.00 degrees
Space group P2/m (No. 10)
Symmetry-distinct sites (fractional):
K1 0.0000 0.0000 0.0000
Li1 0.5000 0.0000 0.5000
Ni1 0.3019 0.5000 0.6463

Results
- E (Ry per atom) = -0.2338
- energy of formation from the pure elements (eV per atom) = 0.463
- mass density (g/cm3) = 3.6
- E above lowest polymorph (eV/atom) = 0.1043
- magnetic moment (μB per formula unit) = 0.47

Entry 22:
Here is a relaxed structure of PrGa2Cu2Si from Alexandria via LeMat-Bulk. Energies are from PBE.

Cell lengths 4.4812, 4.4812, 5.6967 Å; angles 90.00, 90.00, 90.00 degrees
Space group P4/mmm (No. 123)
Symmetry-distinct sites (fractional):
Pr1 0.0000 0.0000 0.0000
Ga1 0.5000 0.5000 0.2271
Cu1 0.0000 0.5000 0.5000
Si1 0.0000 0.0000 0.5000

Results
- E (Ry per atom) = -0.3097
- mass density (g/cm3) = 6.3
- magnetic moment (μB per formula unit) = 0.00
- formation energy without anion corrections (meV/atom) = -139

Entry 23:
Here is a relaxed structure of Li3CaCd from Alexandria via LeMat-Bulk. Energies are from PBE.

Cell lengths 6.7959, 4.6957, 7.5608 Å; angles 90.00, 103.90, 90.00 degrees
Space group P2_1/m (No. 11)
Symmetry-distinct sites (fractional):
Li1 0.0206 0.2500 0.3655
Li2 0.1262 0.7500 0.0651
Li3 0.3543 0.2500 0.2406
Ca1 0.3241 0.2500 0.7873
Cd1 0.3127 0.7500 0.4548

Results
- E (Ry per atom) = -0.1358
- energy of formation from the pure elements (eV per atom) = -0.116
- mass density (g/cm3) = 2.5
- E above lowest polymorph (eV/atom) = 0.0000
- magnetic moment (μB per formula unit) = 0.00

Entry 24:
Here is a relaxed structure of CsIn2SnS6 from Alexandria via LeMat-Bulk. Energies are from PBE.

Cell lengths 12.8980, 13.6700, 9.2869 Å; angles 90.00, 122.97, 90.00 degrees
Space group C2/c (No. 15)
Symmetry-distinct sites (fractional):
Cs1 0.0000 0.1576 0.2500
In1 0.1430 0.4286 0.0690
Sn1 0.0000 0.1676 0.7500
S1 0.0962 0.4484 0.3255
S2 0.1157 0.2484 0.0245
S3 0.1307 0.0565 0.7073

Results
- E (Ry per atom) = -0.2931
- mass density (g/cm3) = 3.3
- magnetic moment (μB per formula unit) = 0.00
- formation energy without anion corrections (meV/atom) = -478

Entry 25:
Here is a relaxed structure of SrAcLaPb from Alexandria via LeMat-Bulk. Energies are from PBE.

Cell lengths 8.4259, 8.4259, 8.4259 Å; angles 90.00, 90.00, 90.00 degrees
Space group F-43m (No. 216)
Symmetry-distinct sites (fractional):
Sr1 0.0000 0.0000 0.0000
Ac1 0.2500 0.2500 0.2500
La1 0.0000 0.0000 0.5000
Pb1 0.2500 0.2500 0.7500

Results
- E (Ry per atom) = -0.2685
- energy of formation from the pure elements (eV per atom) = -0.047
- mass density (g/cm3) = 7.3
- magnetic moment (μB per formula unit) = 0.87